This record from Alexandria describes crystalline Th2Cd5Hg at its relaxed geometry. The functional is PBE.

Its density of states at the Fermi level is 0.81 states/eV per atom. As for the crystal system: orthorhombic. The calculation puts the calculated formation energy at -100.9 meV/atom. The uncorrected energy is -2.5656 eV/atom.

Cell: 6.849 13.695 4.444 Å, 90.00 90.00 90.00°
Space group Pbam (No. 55)
One atom of each set of equivalent atoms:
Th 0.240 0.122 0.000 [4 per cell]
Cd 0.000 0.500 0.500 [2 per cell]
Cd 0.006 0.747 0.500 [4 per cell]
Cd 0.240 0.371 0.000 [4 per cell]
Hg 0.000 0.000 0.500 [2 per cell]